1.
# NaMnCdH6, optimized geometry, DFT PBE
# Total DFT energy (no corrections)   -60.621 eV/cell
# Crystal system   tetragonal
data_NaMnCdH6
_cell_length_a 4.597
_cell_length_b 4.597
_cell_length_c 8.801
_cell_angle_alpha 90.00
_cell_angle_beta 90.00
_cell_angle_gamma 90.00
_symmetry_space_group_name_H-M 'P 42 n m'
_symmetry_Int_Tables_number 102
_symmetry_space_group_name_Hall 'P 4n -2n'
loop_
_atom_site_label
_atom_site_type_symbol
_atom_site_fract_x
_atom_site_fract_y
_atom_site_fract_z
Na1 Na 0.000 0.000 0.000
Mn1 Mn 0.000 0.000 0.340
Cd1 Cd 0.000 0.000 0.661
H1 H 0.183 0.183 0.468
H2 H 0.187 0.187 0.210
H3 H 0.244 0.244 0.805

---

2.
# Mn2CdNiH, optimized geometry, DFT PBE
# Total DFT energy (no corrections)   -27.794 eV/cell
# Crystal system   tetragonal
data_Mn2CdNiH
_cell_length_a 3.964
_cell_length_b 3.964
_cell_length_c 3.802
_cell_angle_alpha 90.00
_cell_angle_beta 90.00
_cell_angle_gamma 90.00
_symmetry_space_group_name_H-M 'P 4/m m m'
_symmetry_Int_Tables_number 123
_symmetry_space_group_name_Hall '-P 4 2'
loop_
_atom_site_label
_atom_site_type_symbol
_atom_site_fract_x
_atom_site_fract_y
_atom_site_fract_z
Mn1 Mn 0.000 0.500 0.000
Cd1 Cd 0.000 0.000 0.500
Ni1 Ni 0.500 0.500 0.500
H1 H 0.500 0.500 0.000

---

3.
# MnCdNi2H, optimized geometry, DFT PBE
# Total DFT energy (no corrections)   -24.825 eV/cell
# Crystal system   tetragonal
data_MnCdNi2H
_cell_length_a 3.869
_cell_length_b 3.869
_cell_length_c 3.807
_cell_angle_alpha 90.00
_cell_angle_beta 90.00
_cell_angle_gamma 90.00
_symmetry_space_group_name_H-M 'P 4/m m m'
_symmetry_Int_Tables_number 123
_symmetry_space_group_name_Hall '-P 4 2'
loop_
_atom_site_label
_atom_site_type_symbol
_atom_site_fract_x
_atom_site_fract_y
_atom_site_fract_z
Mn1 Mn 0.000 0.000 0.000
Cd1 Cd 0.500 0.500 0.000
Ni1 Ni 0.000 0.500 0.500
H1 H 0.000 0.000 0.500